The following is a PBE-GGA calculation of a relaxed structure of Ac7La2Tb2, from Alexandria via LeMat-Bulk.

```
data_Ac7La2Tb2
_chemical_formula_sum 'Ac14 La4 Tb4'
_space_group_name_H-M_alt 'C m m m'
_space_group_IT_number 65
_space_group_name_Hall '-C 2 2'
_cell_length_a 7.2737
_cell_length_b 12.9800
_cell_length_c 10.0984
_cell_angle_alpha 90.00
_cell_angle_beta 90.00
_cell_angle_gamma 90.00
loop_
_atom_site_label
_atom_site_type_symbol
_atom_site_fract_x
_atom_site_fract_y
_atom_site_fract_z
_atom_site_occupancy
Ac1 Ac 0.0000 0.0000 0.0000 1
Ac2 Ac 0.0000 0.5000 0.1821 1
Ac3 Ac 0.2500 0.2500 0.3109 1
La1 La 0.2468 0.0000 0.5000 1
Tb1 Tb 0.0000 0.2693 0.0000 1
```

Calculated values
Offset from the most stable computed form: 131 meV/atom
ΔE_f: 0.31 eV per atom
Total magnetic moment: 0.000 μB/f.u.
Crystal system: orthorhombic
Density of states at the Fermi level: 41.02 states/eV/cell